# PBE AlAg2Pb, relaxed
data_AlAg2Pb
_chemical_formula_sum 'Al2 Ag4 Pb2'
_cell_length_a 9.239
_cell_length_b 3.390
_cell_length_c 5.595
_cell_angle_alpha 90.00
_cell_angle_beta 101.00
_cell_angle_gamma 90.00
_symmetry_space_group_name_H-M 'C 1 m 1'
_symmetry_Int_Tables_number 8
_symmetry_space_group_name_Hall 'C -2y'
loop_
_atom_site_label
_atom_site_type_symbol
_atom_site_fract_x
_atom_site_fract_y
_atom_site_fract_z
Al1 Al 0.000 0.000 0.000
Ag1 Ag 0.018 0.500 0.618
Ag2 Ag 0.266 0.000 0.854
Pb1 Pb 0.260 0.500 0.333
# - Formation energy from the elements: 0.1268 eV per atom
# - Crystal system: monoclinic
# - Density: 8.69 g/cm³
# - Calculated total energy: -3.1615 eV per atom
# - V: 172.0 Å³ per cell